Material: K3Na2MoO6
Method: DFT, GGA+U
State: relaxed

Output
Final energy   -5.09 eV per atom
Mass density   3.19 g cm⁻³

a b c (Å): 5.9769 5.9769 6.2961
angles (deg): 99.20 99.20 119.73
With the nearest neighbours (Å) after each atom.
Element x y z (fractional)
K 0.0000 0.0000 0.0000  4 O 2.62
K 0.3247 0.6753 0.0000  4 O 2.63-2.66
K 0.6753 0.3247 0.0000  4 O 2.63-2.66
Na 0.1664 0.8336 0.5000  6 O 2.47-2.48
Na 0.8336 0.1664 0.5000  6 O 2.47-2.48
Mo 0.5000 0.5000 0.5000  6 O 1.96-1.97
O 0.1665 0.4375 0.3121  1 Mo 1.97
O 0.2953 0.2953 0.6891  1 Mo 1.96
O 0.4375 0.1665 0.3121  1 Mo 1.97
O 0.5625 0.8335 0.6879  1 Mo 1.97
O 0.7047 0.7047 0.3109  1 Mo 1.96
O 0.8335 0.5625 0.6879  1 Mo 1.97